TaAlMo2: relaxed, PBE.

Energy relative to the elements = 0.78 eV per formula unit
Total magnetic moment = 0.00 Bohr magnetons per cell

a = 2.8281 Å, b = 2.8281 Å, c = 28.6915 Å
α = 90.00°, β = 90.00°, γ = 120.00°
Space group R3m (No. 160, hexagonal axes)
Asymmetric unit:
Ta 0.0000 0.0000 0.0000 x3
Al 0.0000 0.0000 0.2494 x3
Mo 0.0000 0.0000 0.5038 x3
Mo 0.0000 0.0000 0.7544 x3